Record 1
# CsNa5Tl2 (GGA-PBE, relaxed)
# **Raw total energy**: -1.56 eV per atom
# **Formation energy**: -0.038 eV/atom
data_CsNa5Tl2
_chemical_formula_sum 'Cs2 Na10 Tl4'
_symmetry_space_group_name_H-M 'I m m m'
_symmetry_Int_Tables_number 71
_symmetry_space_group_name_Hall '-I 2 2'
_cell_length_a 4.858
_cell_length_b 10.041
_cell_length_c 13.175
_cell_angle_alpha 90.00
_cell_angle_beta 90.00
_cell_angle_gamma 90.00
loop_
_atom_site_label
_atom_site_type_symbol
_atom_site_fract_x
_atom_site_fract_y
_atom_site_fract_z
_atom_site_occupancy
Cs1 Cs 0.000 0.000 0.000 1
Na1 Na 0.000 0.188 0.339 1
Na2 Na 0.000 0.500 0.000 1
Tl1 Tl 0.000 0.500 0.253 1

Record 2
# TmPuGaPd (GGA-PBE, relaxed)
# **Raw total energy**: -7.23 eV per atom
# **Formation energy**: -0.478 eV/atom
data_TmPuGaPd
_chemical_formula_sum 'Tm4 Pu4 Ga4 Pd4'
_symmetry_space_group_name_H-M 'F -4 3 m'
_symmetry_Int_Tables_number 216
_symmetry_space_group_name_Hall 'F -4 2 3'
_cell_length_a 7.074
_cell_length_b 7.074
_cell_length_c 7.074
_cell_angle_alpha 90.00
_cell_angle_beta 90.00
_cell_angle_gamma 90.00
loop_
_atom_site_label
_atom_site_type_symbol
_atom_site_fract_x
_atom_site_fract_y
_atom_site_fract_z
_atom_site_occupancy
Tm1 Tm 0.000 0.000 0.000 1
Pu1 Pu 0.000 0.000 0.500 1
Ga1 Ga 0.250 0.250 0.250 1
Pd1 Pd 0.250 0.250 0.750 1

Number 1: Fermi-level density of states 0.580 states/eV per atom. Number 2: Fermi-level density of states 2.432 states/eV per atom.